# 1
Entry from the Alexandria database: a relaxed Li2Ga4Tc crystal (PBE).

## Properties
- energy of formation (eV per formula unit) = -1.53
- VASP energy (eV/atom) = -3.976
- magnetization (μB/cell) = 0.00
- relative energy among the computed polymorphs (meV per atom) = 0.0
- space-group type = I4/mmm, No. 139

Cell: 5.2577 5.2577 5.2577 Å, 99.64 114.60 114.60°
With the nearest neighbours (Å) after each atom.
Element x y z (fractional)
Ga 0.5000 0.0000 0.0000  4 Li 2.63, 2 Tc 2.63, 4 Ga 2.84
Ga 0.5000 0.5000 0.5000  4 Li 2.63, 2 Tc 2.63, 4 Ga 2.84
Ga 0.0000 0.0000 0.5000  2 Tc 2.63, 4 Li 2.63, 4 Ga 2.84
Ga 0.0000 0.5000 0.0000  4 Li 2.63, 2 Tc 2.63, 4 Ga 2.84
Li 0.5000 0.0000 0.5000  8 Ga 2.63, 2 Tc 2.84
Li 0.5000 0.5000 0.0000  8 Ga 2.63, 2 Tc 2.84
Tc 0.0000 0.0000 0.0000  8 Ga 2.63, 4 Li 2.84

***

# 2
Entry from the Alexandria database: a relaxed LiGa2Tc2 crystal (PBE).

## Properties
- energy of formation (eV per formula unit) = -0.10
- VASP energy (eV/atom) = -5.760
- magnetization (μB/cell) = 0.00
- relative energy among the computed polymorphs (meV per atom) = 0.0
- space-group type = P4/mbm, No. 127

Cell: 6.5404 6.5404 3.4301 Å, 90.00 90.00 90.00°
With the nearest neighbours (Å) after each atom.
Element x y z (fractional)
Li 0.5000 0.5000 0.0000  4 Ga 2.53
Li 0.0000 0.0000 0.0000  4 Ga 2.53
Ga 0.3617 0.8617 0.0000  6 Tc 2.52-2.62, 2 Li 2.53, 1 Ga 2.56
Ga 0.1383 0.3617 0.0000  6 Tc 2.52-2.62, 2 Li 2.53, 1 Ga 2.56
Ga 0.6383 0.1383 0.0000  6 Tc 2.52-2.62, 2 Li 2.53, 1 Ga 2.56
Ga 0.8617 0.6383 0.0000  6 Tc 2.52-2.62, 2 Li 2.53, 1 Ga 2.56
Tc 0.6627 0.8373 0.5000  6 Ga 2.52-2.62
Tc 0.1627 0.6627 0.5000  6 Ga 2.52-2.62
Tc 0.8373 0.3373 0.5000  6 Ga 2.52-2.62
Tc 0.3373 0.1627 0.5000  6 Ga 2.52-2.62

***

# 3
Entry from the Alexandria database: a relaxed Li2Ga4Tc crystal (PBE).

## Properties
- energy of formation (eV per formula unit) = 0.11
- VASP energy (eV/atom) = -3.742
- magnetization (μB/cell) = 0.00
- relative energy among the computed polymorphs (meV per atom) = 234.8
- space-group type = I4/mmm, No. 139

Cell: 4.8014 4.8014 7.5258 Å, 71.40 71.40 90.00°
With the nearest neighbours (Å) after each atom.
Element x y z (fractional)
Tc 0.0000 0.0000 0.0000  6 Ga 2.40-2.46
Ga 0.8168 0.8168 0.3664  1 Tc 2.46, 1 Li 2.70
Ga 0.1832 0.1832 0.6336  1 Tc 2.46, 1 Li 2.70
Ga 0.5000 0.0000 0.0000  2 Tc 2.40
Ga 0.0000 0.5000 0.0000  2 Tc 2.40
Li 0.3842 0.3842 0.2317  5 Ga 2.70-2.86
Li 0.6158 0.6158 0.7683  5 Ga 2.70-2.86

***

# 4
Entry from the Alexandria database: a relaxed LiGa2Tc2 crystal (PBE).

## Properties
- energy of formation (eV per formula unit) = -0.04
- VASP energy (eV/atom) = -5.748
- magnetization (μB/cell) = 0.00
- relative energy among the computed polymorphs (meV per atom) = 12.0
- space-group type = P4/mbm, No. 127

Cell: 7.6343 7.6343 2.7877 Å, 90.00 90.00 90.00°
With the nearest neighbours (Å) after each atom.
Element x y z (fractional)
Ga 0.1841 0.6841 0.5000  6 Tc 2.62-2.70, 2 Ga 2.79
Ga 0.8159 0.3159 0.5000  6 Tc 2.62-2.70, 2 Ga 2.79
Ga 0.3159 0.1841 0.5000  6 Tc 2.62-2.70, 2 Ga 2.79
Ga 0.6841 0.8159 0.5000  6 Tc 2.62-2.70, 2 Ga 2.79
Tc 0.6102 0.1102 0.0000  1 Tc 2.38, 2 Ga 2.62
Tc 0.8898 0.6102 0.0000  1 Tc 2.38, 2 Ga 2.62
Tc 0.1102 0.3898 0.0000  1 Tc 2.38, 2 Ga 2.62
Tc 0.3898 0.8898 0.0000  1 Tc 2.38, 2 Ga 2.62
Li 0.5000 0.5000 0.0000  2 Li 2.79, 4 Tc 3.09, 8 Ga 3.12
Li 0.0000 0.0000 0.0000  2 Li 2.79, 4 Tc 3.09, 8 Ga 3.12

***

# 5
Entry from the Alexandria database: a relaxed LiGa3Tc crystal (PBE).

## Properties
- energy of formation (eV per formula unit) = -0.20
- VASP energy (eV/atom) = -4.312
- magnetization (μB/cell) = 0.00
- relative energy among the computed polymorphs (meV per atom) = 165.5
- space-group type = Pm-3m, No. 221

Cell: 4.8215 4.8215 4.8215 Å, 90.00 90.00 90.00°
With the nearest neighbours (Å) after each atom.
Element x y z (fractional)
Tc 0.0000 0.0000 0.0000  6 Ga 2.41
Ga 0.5000 0.0000 0.0000  2 Tc 2.41
Ga 0.0000 0.5000 0.0000  2 Tc 2.41
Ga 0.0000 0.0000 0.5000  2 Tc 2.41
Li 0.5000 0.5000 0.5000  12 Ga 3.41

***

# 6
Entry from the Alexandria database: a relaxed LiGa2Tc crystal (PBE).

## Properties
- energy of formation (eV per formula unit) = 1.72
- VASP energy (eV/atom) = -4.155
- magnetization (μB/cell) = 0.00
- space-group type = Immm, No. 71

Cell: 5.8797 5.8797 5.8797 Å, 59.21 155.01 127.27°
With the nearest neighbours (Å) after each atom.
Element x y z (fractional)
Ga 0.0000 0.7494 0.7494  2 Ga 2.54, 1 Tc 2.55, 1 Li 2.56
Ga 0.0000 0.2506 0.2506  2 Ga 2.54, 1 Tc 2.55, 1 Li 2.56
Li 0.0000 0.0000 0.0000  2 Li 2.54, 2 Ga 2.56
Tc 0.0000 0.5000 0.5000  2 Tc 2.54, 2 Ga 2.55

***

# 7
Entry from the Alexandria database: a relaxed Li12Ga6Tc crystal (PBE).

## Properties
- energy of formation (eV per formula unit) = -3.91
- VASP energy (eV/atom) = -2.916
- magnetization (μB/cell) = 0.00
- space-group type = R-3, No. 148

Cell: 6.8228 6.8228 6.8228 Å, 88.46 88.46 88.46°
With the nearest neighbours (Å) after each atom.
Element x y z (fractional)
Ga 0.1143 0.2616 0.7420  1 Tc 2.59, 2 Ga 2.72, 7 Li 2.75-2.90
Ga 0.2580 0.8857 0.7384  1 Tc 2.59, 2 Ga 2.72, 7 Li 2.75-2.90
Ga 0.7420 0.1143 0.2616  1 Tc 2.59, 2 Ga 2.72, 7 Li 2.75-2.90
Ga 0.7384 0.2580 0.8857  1 Tc 2.59, 2 Ga 2.72, 7 Li 2.75-2.90
Ga 0.2616 0.7420 0.1143  1 Tc 2.59, 2 Ga 2.72, 7 Li 2.75-2.90
Ga 0.8857 0.7384 0.2580  1 Tc 2.59, 2 Ga 2.72, 7 Li 2.75-2.90
Li 0.3749 0.1485 0.0394  5 Li 2.67-2.96, 5 Ga 2.78-2.96, 1 Tc 2.80
Li 0.1485 0.0394 0.3749  5 Li 2.67-2.96, 5 Ga 2.78-2.96, 1 Tc 2.80
Li 0.9606 0.6251 0.8515  5 Li 2.67-2.96, 5 Ga 2.78-2.96, 1 Tc 2.80
Li 0.5169 0.8093 0.4322  4 Ga 2.75-2.87, 5 Li 2.79-2.96
Li 0.1907 0.5678 0.4831  4 Ga 2.75-2.87, 5 Li 2.79-2.96
Li 0.4831 0.1907 0.5678  4 Ga 2.75-2.87, 5 Li 2.79-2.96
Li 0.8093 0.4322 0.5169  4 Ga 2.75-2.87, 5 Li 2.79-2.96
Li 0.5678 0.4831 0.1907  4 Ga 2.75-2.87, 5 Li 2.79-2.96
Li 0.6251 0.8515 0.9606  5 Li 2.67-2.96, 5 Ga 2.78-2.96, 1 Tc 2.80
Li 0.0394 0.3749 0.1485  5 Li 2.67-2.96, 5 Ga 2.78-2.96, 1 Tc 2.80
Li 0.8515 0.9606 0.6251  5 Li 2.67-2.96, 5 Ga 2.78-2.96, 1 Tc 2.80
Li 0.4322 0.5169 0.8093  4 Ga 2.75-2.87, 5 Li 2.79-2.96
Tc 0.0000 0.0000 0.0000  6 Ga 2.59, 6 Li 2.80

***

# 8
Entry from the Alexandria database: a relaxed Li2Ga3Tc2 crystal (PBE).

## Properties
- energy of formation (eV per formula unit) = -0.64
- VASP energy (eV/atom) = -4.898
- magnetization (μB/cell) = 0.00
- space-group type = Cmmm, No. 65

Cell: 4.1191 2.7278 9.8375 Å, 90.00 77.92 90.00°
With the nearest neighbours (Å) after each atom.
Element x y z (fractional)
Tc 0.7152 0.5000 0.5696  4 Tc 2.46-2.73
Tc 0.2848 0.5000 0.4304  4 Tc 2.46-2.73
Ga 0.8495 0.0000 0.3010  3 Ga 2.73-2.90, 6 Tc 2.77-2.92, 4 Li 2.90
Ga 0.0000 0.0000 0.0000  4 Ga 2.73-2.90, 8 Li 2.83
Ga 0.1505 0.0000 0.6990  3 Ga 2.73-2.90, 6 Tc 2.77-2.92, 4 Li 2.90
Li 0.5716 0.5000 0.8568  3 Li 2.73-2.75, 1 Tc 2.76, 8 Ga 2.83-2.90
Li 0.4284 0.5000 0.1432  3 Li 2.73-2.75, 1 Tc 2.76, 8 Ga 2.83-2.90

***

# 9
Entry from the Alexandria database: a relaxed Li6Ga12Tc crystal (PBE).

## Properties
- energy of formation (eV per formula unit) = -3.98
- VASP energy (eV/atom) = -3.271
- magnetization (μB/cell) = 0.00
- space-group type = R-3, No. 148

Cell: 6.8681 6.8681 6.8681 Å, 94.72 94.72 94.72°
With the nearest neighbours (Å) after each atom.
Element x y z (fractional)
Ga 0.8756 0.6412 0.9642  1 Tc 2.53, 2 Ga 2.63-2.74, 2 Li 2.66-2.77
Ga 0.3588 0.0358 0.1244  1 Tc 2.53, 2 Ga 2.63-2.74, 2 Li 2.66-2.77
Ga 0.7855 0.5489 0.4607  5 Ga 2.63-2.94, 4 Li 2.81-2.91
Ga 0.0358 0.1244 0.3588  1 Tc 2.53, 2 Ga 2.63-2.74, 2 Li 2.66-2.77
Ga 0.9642 0.8756 0.6412  1 Tc 2.53, 2 Ga 2.63-2.74, 2 Li 2.66-2.77
Ga 0.1244 0.3588 0.0358  1 Tc 2.53, 2 Ga 2.63-2.74, 2 Li 2.66-2.77
Ga 0.2145 0.4511 0.5393  5 Ga 2.63-2.94, 4 Li 2.81-2.91
Ga 0.5393 0.2145 0.4511  5 Ga 2.63-2.94, 4 Li 2.81-2.91
Ga 0.5489 0.4607 0.7855  5 Ga 2.63-2.94, 4 Li 2.81-2.91
Ga 0.4511 0.5393 0.2145  5 Ga 2.63-2.94, 4 Li 2.81-2.91
Ga 0.6412 0.9642 0.8756  1 Tc 2.53, 2 Ga 2.63-2.74, 2 Li 2.66-2.77
Ga 0.4607 0.7855 0.5489  5 Ga 2.63-2.94, 4 Li 2.81-2.91
Li 0.1163 0.7374 0.2868  8 Ga 2.66-2.91, 1 Tc 2.89
Li 0.7132 0.8837 0.2626  8 Ga 2.66-2.91, 1 Tc 2.89
Li 0.8837 0.2626 0.7132  8 Ga 2.66-2.91, 1 Tc 2.89
Li 0.2868 0.1163 0.7374  8 Ga 2.66-2.91, 1 Tc 2.89
Li 0.7374 0.2868 0.1163  8 Ga 2.66-2.91, 1 Tc 2.89
Li 0.2626 0.7132 0.8837  8 Ga 2.66-2.91, 1 Tc 2.89
Tc 0.0000 0.0000 0.0000  6 Ga 2.53

***

# 10
Entry from the Alexandria database: a relaxed LiGa4Tc crystal (PBE).

## Properties
- energy of formation (eV per formula unit) = 0.12
- VASP energy (eV/atom) = -4.045
- magnetization (μB/cell) = 0.00
- relative energy among the computed polymorphs (meV per atom) = 159.9
- space-group type = C2/m, No. 12

Cell: 6.1729 6.1820 7.1463 Å, 115.63 115.66 90.00°
With the nearest neighbours (Å) after each atom.
Element x y z (fractional)
Ga 0.1287 0.1290 0.2571  2 Tc 2.58, 2 Li 2.62, 1 Ga 2.75
Ga 0.8713 0.8710 0.7429  2 Tc 2.58, 2 Li 2.62, 1 Ga 2.75
Ga 0.1286 0.6280 0.2568  2 Tc 2.58, 2 Li 2.62, 1 Ga 2.75
Ga 0.8714 0.3720 0.7432  2 Tc 2.58, 2 Li 2.62, 1 Ga 2.75
Ga 0.3714 0.3712 0.7432  2 Tc 2.58, 2 Li 2.62, 1 Ga 2.75
Ga 0.6287 0.1281 0.2571  2 Tc 2.58, 2 Li 2.62, 1 Ga 2.75
Ga 0.6286 0.6288 0.2568  2 Tc 2.58, 2 Li 2.62, 1 Ga 2.75
Ga 0.3713 0.8719 0.7429  2 Tc 2.58, 2 Li 2.62, 1 Ga 2.75
Li 0.2500 0.2498 0.0000  8 Ga 2.62
Li 0.7500 0.7502 0.0000  8 Ga 2.62
Tc 0.5000 0.0000 0.5000  8 Ga 2.58
Tc 0.0000 0.5000 0.5000  8 Ga 2.58

***

> Number 7 is which compound?

Li12Ga6Tc

***

What did the fifth record say?
Entry from the Alexandria database: a relaxed LiGa3Tc crystal (PBE).

## Properties
- energy of formation (eV per formula unit) = -0.20
- VASP energy (eV/atom) = -4.312
- magnetization (μB/cell) = 0.00
- relative energy among the computed polymorphs (meV per atom) = 165.5
- space-group type = Pm-3m, No. 221

Cell: 4.8215 4.8215 4.8215 Å, 90.00 90.00 90.00°
With the nearest neighbours (Å) after each atom.
Element x y z (fractional)
Tc 0.0000 0.0000 0.0000  6 Ga 2.41
Ga 0.5000 0.0000 0.0000  2 Tc 2.41
Ga 0.0000 0.5000 0.0000  2 Tc 2.41
Ga 0.0000 0.0000 0.5000  2 Tc 2.41
Li 0.5000 0.5000 0.5000  12 Ga 3.41